# 1
Computed, not measured: crystalline Re3Tc2Os4 at its relaxed geometry at the PBE-GGA level of DFT.

Cell lengths 4.885, 7.593, 7.593 Å; angles 77.05, 84.52, 84.52 degrees
Sites, in units of the cell vectors:
Re 0.075 0.039 0.159
Re 0.925 0.961 0.841
Re 0.750 0.492 0.508
Re 0.250 0.508 0.492
Re 0.575 0.159 0.039
Re 0.425 0.841 0.961
Os 0.937 0.840 0.485
Os 0.563 0.515 0.160
Os 0.010 0.694 0.198
Os 0.063 0.160 0.515
Os 0.510 0.198 0.694
Os 0.437 0.485 0.840
Os 0.990 0.306 0.802
Os 0.490 0.802 0.306
Tc 0.905 0.631 0.863
Tc 0.595 0.137 0.369
Tc 0.095 0.369 0.137
Tc 0.405 0.863 0.631

The total moment is 0.00 μB per formula unit. For the density, the calculation gives 18.476 Mg/m³. The space-group type is No. 15.

***

# 2
Computed, not measured: crystalline Re2TcOs at its relaxed geometry at the PBE-GGA level of DFT.

Cell lengths 5.631, 5.631, 6.846 Å; angles 65.72, 65.72, 90.00 degrees
Sites, in units of the cell vectors:
Os 0.000 0.000 0.000
Os 0.750 0.250 0.500
Re 0.375 0.373 0.750
Re 0.875 0.877 0.750
Re 0.627 0.125 0.250
Re 0.123 0.625 0.250
Tc 0.500 0.500 0.000
Tc 0.250 0.750 0.500

The total moment is 0.00 μB per formula unit. For the density, the calculation gives 12.423 Mg/m³. Its relative energy among the computed polymorphs is 1470 meV/atom. The space-group type is No. 122.

***

# 3
Computed, not measured: crystalline Re2TcOs at its relaxed geometry at the PBE-GGA level of DFT.

Cell lengths 4.284, 2.751, 5.258 Å; angles 74.87, 90.00, 90.00 degrees
Sites, in units of the cell vectors:
Re 0.000 0.191 0.992
Re 0.500 0.061 0.254
Os 0.500 0.798 0.777
Tc 0.000 0.450 0.477

The total moment is 0.00 μB per formula unit. For the density, the calculation gives 18.337 Mg/m³. Its relative energy among the computed polymorphs is 143 meV/atom. The space-group type is No. 6.

***

The records above give, respectively, energy relative to the elements values of 0.23 1.45 0.12 eV per atom.
The records above give, respectively, calculated volume values of 15.135 22.076 14.957 A^3/atom.
The records above give, respectively, E_tot values of -11.2138 -10.1714 -11.4982 eV/atom.